Density functional theory data (GGA+U) for BaLi2NiO3 after structural relaxation.

Summary:
As for the final energy: -141.1 eV/cell. The total magnetization comes out at 1.98 μB/f.u. Its space group is No. 62.

Lattice parameters (Å, degrees): 6.879 7.104 8.044 90.00 90.00 90.00
Last column: magnetic moment on the atom in μB.
Sites, in units of the cell vectors:
O: 0.997 0.819 0.283  0.08
Ba: 0.250 0.651 0.039  0.01
O: 0.250 0.004 0.987  0.09
O: 0.250 0.496 0.487  0.09
O: 0.003 0.319 0.217  0.08
O: 0.997 0.681 0.783  0.08
O: 0.503 0.681 0.783  0.08
O: 0.750 0.996 0.013  0.09
Li: 0.963 0.947 0.858  0.00
O: 0.497 0.181 0.717  0.08
Li: 0.537 0.553 0.358  0.00
Li: 0.463 0.053 0.142  0.00
Ni: 0.750 0.821 0.189  1.65
Ba: 0.750 0.349 0.961  0.01
O: 0.003 0.181 0.717  0.08
Ba: 0.250 0.849 0.539  0.01
Li: 0.463 0.447 0.642  0.00
O: 0.497 0.319 0.217  0.08
Ba: 0.750 0.151 0.461  0.01
O: 0.503 0.819 0.283  0.08
Li: 0.963 0.553 0.358  0.00
Ni: 0.250 0.179 0.811  1.65
Li: 0.537 0.947 0.858  0.00
O: 0.750 0.504 0.513  0.09
Ni: 0.750 0.679 0.689  1.65
Ni: 0.250 0.321 0.311  1.65
Li: 0.037 0.447 0.642  0.00
Li: 0.037 0.053 0.142  0.00